Here is an optimized crystal structure of CsGaCu2F8 from Alexandria. Energies are from PBE-GGA.

Unit cell a=5.2653 b=5.2653 c=25.2822 alpha=90.00 beta=90.00 gamma=120.00
Last column: nearest neighbours and their distance in Å.
Space group R32 (No. 155, hexagonal axes)
Unique sites:
Cs 0.0000 0.0000 0.0000  6 F 3.12
Ga 0.0000 0.0000 0.5000  6 F 1.95
Cu 0.0000 0.0000 0.2339  4 F 1.82-1.98
F 0.0000 0.0000 0.3058  1 Cu 1.82
F 0.0088 0.2905 0.5489  1 Ga 1.95, 1 Cu 1.98

Computed properties:
energy relative to the elements, uncorrected	-1.95	eV per atom

Here is an optimized crystal structure of Ca2Si3AgPt4 from Alexandria. Energies are from PBE-GGA.

Unit cell a=4.2092 b=4.2092 c=10.4496 alpha=90.00 beta=90.00 gamma=90.00
Last column: nearest neighbours and their distance in Å.
Space group P-4m2 (No. 115)
Unique sites:
Ca 0.0000 0.5000 0.2467  8 Pt 3.13-3.38, 6 Si 3.27-3.33, 2 Ag 3.33
Si 0.0000 0.0000 0.0000  4 Pt 2.66
Si 0.0000 0.5000 0.6234  5 Pt 2.32-2.47
Ag 0.5000 0.5000 0.0000  4 Pt 2.66
Pt 0.0000 0.0000 0.5000  4 Si 2.47
Pt 0.0000 0.5000 0.8450  1 Si 2.32
Pt 0.5000 0.5000 0.5000  4 Si 2.47

Computed properties:
energy relative to the elements, uncorrected	-0.80	eV per atom

Here is an optimized crystal structure of TiGa3Ni12 from Alexandria. Energies are from PBE-GGA.

Unit cell a=3.5959 b=3.5959 c=14.2866 alpha=90.00 beta=90.00 gamma=90.00
Last column: nearest neighbours and their distance in Å.
Space group P4/mmm (No. 123)
Unique sites:
Ti 0.0000 0.0000 0.0000  12 Ni 2.54
Ga 0.0000 0.0000 0.2515  12 Ni 2.52-2.54
Ga 0.0000 0.0000 0.5000  12 Ni 2.53-2.54
Ni 0.0000 0.5000 0.1257  8 Ni 2.53-2.54, 2 Ga 2.54, 2 Ti 2.54
Ni 0.0000 0.5000 0.3751  4 Ga 2.52-2.53, 8 Ni 2.53-2.54
Ni 0.5000 0.5000 0.0000  8 Ni 2.54, 4 Ti 2.54
Ni 0.5000 0.5000 0.2506  8 Ni 2.53, 4 Ga 2.54
Ni 0.5000 0.5000 0.5000  8 Ni 2.53, 4 Ga 2.54

Here is an optimized crystal structure of Mg2Ti from Alexandria. Energies are from PBE-GGA.

Unit cell a=3.0005 b=16.5683 c=4.9257 alpha=90.00 beta=90.00 gamma=90.00
Last column: nearest neighbours and their distance in Å.
Space group Cmcm (No. 63)
Unique sites:
Mg 0.0000 0.1108 0.2500  6 Ti 2.97-3.09, 6 Mg 2.98-3.29
Mg 0.0000 0.2123 0.7500  10 Mg 2.98-3.29, 2 Ti 3.17
Ti 0.0000 0.4559 0.2500  4 Ti 2.86-3.00, 8 Mg 2.97-3.17

no.,energy (eV per atom)
1,-4.20
2,-5.53
3,-5.74
4,-3.57